Tm3Co7Ge2: optimized geometry, PBE.

Structure (POSCAR):
```
Tm3Co7Ge2
1.0
-4.909 -1.332 0.806
-1.237 -4.942 0.749
-1.060 -1.205 8.007
Tm Co Ge
3 7 2
direct
0.000 0.000 0.000
0.859 0.859 0.423
0.141 0.141 0.577
0.500 0.500 0.500
0.917 0.418 0.247
0.418 0.917 0.247
0.418 0.418 0.247
0.083 0.582 0.753
0.582 0.582 0.753
0.582 0.083 0.753
0.667 0.667 0.000
0.333 0.333 0.000
```

- VASP energy (eV for the cell shown) = -76.9
- E_form (eV per formula unit) = -4.5
- space-group type = R-3m



SrGe3N: optimized geometry, PBE.

Structure (POSCAR):
```
SrGe3N
1.0
5.680 0.000 0.000
0.000 5.680 0.000
0.000 0.000 5.680
Sr Ge N
1 3 1
direct
0.000 0.000 0.000
0.000 0.500 0.000
0.000 0.000 0.500
0.500 0.000 0.000
0.500 0.500 0.500
```

- raw formation energy (eV/atom) = 2.44
- energy above the most stable polymorph in this dataset (meV per atom) = 2063
- VASP energy (eV for the cell shown) = -11.6
- space-group type = Pm-3m



PrZn2Ga2: optimized geometry, PBE.

Structure (POSCAR):
```
PrZn2Ga2
1.0
-0.742 1.811 3.805
-4.134 0.434 -1.012
-2.023 -9.571 4.160
Pr Zn Ga
2 4 4
direct
0.500 0.000 0.249
0.000 0.500 0.751
0.000 0.500 0.365
0.500 0.000 0.635
0.500 0.500 0.000
0.000 0.000 0.000
0.500 0.500 0.500
0.000 0.000 0.500
0.000 0.500 0.134
0.500 0.000 0.866
```

- VASP energy (eV for the cell shown) = -31.6
- E_form (eV per formula unit) = -2.4
- space-group type = P4/nmm



no.,volume (Å³/cell)
1,175
2,183
3,195